This record from Alexandria describes a relaxed structure of AcEuSn. The functional is PBE.

Lattice parameters (Å, degrees): 4.382 4.382 6.153 110.86 110.86 90.00
Last column: magnetic moment on the atom in μB.
Atoms (fractional coordinates):
Eu 0.014 0.014 0.029  -7.01
Ac 0.322 0.322 0.644  -0.23
Sn 0.664 0.664 0.327  0.06

Computed properties:
**Total magnetic moment**: 8.1 μB per cell
**Formation enthalpy at 0 K**: -0.42 eV per atom
**Crystal system**: tetragonal


This record from Alexandria describes a relaxed structure of CrAg2Te. The functional is PBE.

Lattice parameters (Å, degrees): 3.093 3.093 8.838 90.00 90.00 90.00
Last column: magnetic moment on the atom in μB.
Atoms (fractional coordinates):
Te 0.500 0.500 0.750  0.01
Ag 0.000 0.000 0.041  0.04
Ag 0.000 0.000 0.459  0.04
Cr 0.500 0.500 0.250  3.65

Computed properties:
**Total magnetic moment**: 4.1 μB per cell
**Formation energy (no corrections)**: 0.42 eV per atom
**Crystal system**: tetragonal


This record from Alexandria describes a relaxed structure of Rb3CrBr. The functional is PBE.

Lattice parameters (Å, degrees): 6.639 6.639 6.639 90.00 90.00 90.00
Last column: magnetic moment on the atom in μB.
Atoms (fractional coordinates):
Cr 0.500 0.500 0.500  4.29
Rb 0.000 0.000 0.500  0.01
Br 0.000 0.000 0.000  0.01
Rb 0.500 0.000 0.000  0.00
Rb 0.000 0.500 0.000  0.01

Computed properties:
**Total magnetic moment**: 5.7 μB per cell
**Formation energy (no corrections)**: -0.08 eV per atom
**Crystal system**: cubic


DFT total energy for every record listed, in sequence, given in hartree per atom: -0.24072 -0.15408 -0.10718.